Below is a relaxed ZnFeSeBr2 crystal, with properties calculated at the PBE-GGA level.

Summary:
Uncorrected formation energy in eV per atom: 0.22
Density of states at the Fermi level in states/eV per atom: 1.351
Calculated total energy in eV per cell: -15.47

Cell lengths 5.1010, 5.1010, 4.4762 Å; angles 90.00, 90.00, 90.00 degrees
With the nearest neighbours (Å) after each atom.
Element x y z (fractional)
1 Zn 0.5000 0.5000 0.5000  8 Br 3.39, 4 Se 3.61
2 Se 0.0000 0.0000 0.5000  2 Fe 2.24
3 Br 0.0000 0.5000 0.0000  2 Fe 2.55
4 Br 0.5000 0.0000 0.0000  2 Fe 2.55
5 Fe 0.0000 0.0000 0.0000  2 Se 2.24